Run w
# TaBeFeAs (PBE, optimized geometry)
data_TaBeFeAs
_chemical_formula_sum 'Ta1 Be1 Fe1 As1'
_symmetry_space_group_name_H-M 'P 1'
_symmetry_Int_Tables_number 1
_cell_length_a 4.219
_cell_length_b 4.219
_cell_length_c 4.219
_cell_angle_alpha 60.00
_cell_angle_beta 60.00
_cell_angle_gamma 60.00
loop_
_symmetry_equiv_pos_as_xyz
'x,y,z'
loop_
_atom_site_label
_atom_site_fract_x
_atom_site_fract_y
_atom_site_fract_z
Ta1 0.250 0.250 0.250
As1 0.000 0.000 0.000
Be1 0.500 0.500 0.500
Fe1 0.750 0.750 0.750
# magnetic moment = 1.81 μB per formula unit
# symmetry = No. 216
# ρ = 10.0 g cm⁻³

---

Run x
# TaBeFeAs (PBE, optimized geometry)
data_TaBeFeAs
_chemical_formula_sum 'Ta1 Be1 Fe1 As1'
_symmetry_space_group_name_H-M 'P 1'
_symmetry_Int_Tables_number 1
_cell_length_a 4.219
_cell_length_b 4.219
_cell_length_c 4.219
_cell_angle_alpha 60.00
_cell_angle_beta 60.00
_cell_angle_gamma 60.00
loop_
_symmetry_equiv_pos_as_xyz
'x,y,z'
loop_
_atom_site_label
_atom_site_fract_x
_atom_site_fract_y
_atom_site_fract_z
Be1 0.250 0.250 0.250
Fe1 0.750 0.750 0.750
As1 0.000 0.000 0.000
Ta1 0.500 0.500 0.500
# magnetic moment = 0.01 μB per formula unit
# symmetry = No. 216
# ρ = 10.0 g cm⁻³

---

Which structure wins on stability? run w wins.

---

Run w
# BeTlFeAs (PBE, optimized geometry)
data_BeTlFeAs
_chemical_formula_sum 'Be1 Tl1 Fe1 As1'
_symmetry_space_group_name_H-M 'P 1'
_symmetry_Int_Tables_number 1
_cell_length_a 4.594
_cell_length_b 4.594
_cell_length_c 4.594
_cell_angle_alpha 60.00
_cell_angle_beta 60.00
_cell_angle_gamma 60.00
loop_
_symmetry_equiv_pos_as_xyz
'x,y,z'
loop_
_atom_site_label
_atom_site_fract_x
_atom_site_fract_y
_atom_site_fract_z
Tl1 0.500 0.500 0.500
Be1 0.750 0.750 0.750
As1 0.250 0.250 0.250
Fe1 0.000 0.000 0.000
# magnetic moment = 2.36 μB per formula unit
# symmetry = No. 216
# ρ = 8.3 g cm⁻³

---

Run x
# BeTlFeAs (PBE, optimized geometry)
data_BeTlFeAs
_chemical_formula_sum 'Be1 Tl1 Fe1 As1'
_symmetry_space_group_name_H-M 'P 1'
_symmetry_Int_Tables_number 1
_cell_length_a 4.510
_cell_length_b 4.510
_cell_length_c 4.510
_cell_angle_alpha 60.00
_cell_angle_beta 60.00
_cell_angle_gamma 60.00
loop_
_symmetry_equiv_pos_as_xyz
'x,y,z'
loop_
_atom_site_label
_atom_site_fract_x
_atom_site_fract_y
_atom_site_fract_z
Tl1 0.500 0.500 0.500
As1 0.000 0.000 0.000
Fe1 0.250 0.250 0.250
Be1 0.750 0.750 0.750
# magnetic moment = 2.06 μB per formula unit
# symmetry = No. 216
# ρ = 8.8 g cm⁻³

---

Which structure wins on stability? run x wins.

---

Run w
# YBeFeAs (PBE, optimized geometry)
data_YBeFeAs
_chemical_formula_sum 'Y1 Be1 Fe1 As1'
_symmetry_space_group_name_H-M 'P 1'
_symmetry_Int_Tables_number 1
_cell_length_a 4.424
_cell_length_b 4.424
_cell_length_c 4.424
_cell_angle_alpha 60.00
_cell_angle_beta 60.00
_cell_angle_gamma 60.00
loop_
_symmetry_equiv_pos_as_xyz
'x,y,z'
loop_
_atom_site_label
_atom_site_fract_x
_atom_site_fract_y
_atom_site_fract_z
Be1 0.500 0.500 0.500
As1 0.000 0.000 0.000
Y1 0.250 0.250 0.250
Fe1 0.750 0.750 0.750
# magnetic moment = 0.00 μB per formula unit
# symmetry = No. 216
# ρ = 6.2 g cm⁻³

---

Run x
# YBeFeAs (PBE, optimized geometry)
data_YBeFeAs
_chemical_formula_sum 'Y1 Be1 Fe1 As1'
_symmetry_space_group_name_H-M 'P 1'
_symmetry_Int_Tables_number 1
_cell_length_a 4.353
_cell_length_b 4.353
_cell_length_c 4.353
_cell_angle_alpha 60.00
_cell_angle_beta 60.00
_cell_angle_gamma 60.00
loop_
_symmetry_equiv_pos_as_xyz
'x,y,z'
loop_
_atom_site_label
_atom_site_fract_x
_atom_site_fract_y
_atom_site_fract_z
Y1 0.000 0.000 0.000
Be1 0.750 0.750 0.750
Fe1 0.250 0.250 0.250
As1 0.500 0.500 0.500
# magnetic moment = 0.01 μB per formula unit
# symmetry = No. 216
# ρ = 6.5 g cm⁻³

---

Which structure wins on stability? run w wins.

---

Run w
# BeZnFeAs (PBE, optimized geometry)
data_BeZnFeAs
_chemical_formula_sum 'Be1 Zn1 Fe1 As1'
_symmetry_space_group_name_H-M 'P 1'
_symmetry_Int_Tables_number 1
_cell_length_a 4.179
_cell_length_b 4.179
_cell_length_c 4.179
_cell_angle_alpha 60.00
_cell_angle_beta 60.00
_cell_angle_gamma 60.00
loop_
_symmetry_equiv_pos_as_xyz
'x,y,z'
loop_
_atom_site_label
_atom_site_fract_x
_atom_site_fract_y
_atom_site_fract_z
Fe1 0.750 0.750 0.750
Be1 0.500 0.500 0.500
Zn1 0.000 0.000 0.000
As1 0.250 0.250 0.250
# magnetic moment = 2.10 μB per formula unit
# symmetry = No. 216
# ρ = 6.6 g cm⁻³

---

Run x
# BeZnFeAs (PBE, optimized geometry)
data_BeZnFeAs
_chemical_formula_sum 'Be1 Zn1 Fe1 As1'
_symmetry_space_group_name_H-M 'P 1'
_symmetry_Int_Tables_number 1
_cell_length_a 4.107
_cell_length_b 4.107
_cell_length_c 4.107
_cell_angle_alpha 60.00
_cell_angle_beta 60.00
_cell_angle_gamma 60.00
loop_
_symmetry_equiv_pos_as_xyz
'x,y,z'
loop_
_atom_site_label
_atom_site_fract_x
_atom_site_fract_y
_atom_site_fract_z
As1 0.000 0.000 0.000
Zn1 0.500 0.500 0.500
Fe1 0.250 0.250 0.250
Be1 0.750 0.750 0.750
# magnetic moment = 0.91 μB per formula unit
# symmetry = No. 216
# ρ = 7.0 g cm⁻³

---

Run y
# BeZnFeAs (PBE, optimized geometry)
data_BeZnFeAs
_chemical_formula_sum 'Be1 Zn1 Fe1 As1'
_symmetry_space_group_name_H-M 'P 1'
_symmetry_Int_Tables_number 1
_cell_length_a 4.112
_cell_length_b 4.112
_cell_length_c 4.112
_cell_angle_alpha 60.00
_cell_angle_beta 60.00
_cell_angle_gamma 60.00
loop_
_symmetry_equiv_pos_as_xyz
'x,y,z'
loop_
_atom_site_label
_atom_site_fract_x
_atom_site_fract_y
_atom_site_fract_z
Fe1 0.250 0.250 0.250
Be1 0.500 0.500 0.500
Zn1 0.750 0.750 0.750
As1 0.000 0.000 0.000
# magnetic moment = 0.88 μB per formula unit
# symmetry = No. 216
# ρ = 6.9 g cm⁻³

---

Which structure wins on stability? run x wins.

---

Run w
# BeGaAsOs (PBE, optimized geometry)
data_BeGaAsOs
_chemical_formula_sum 'Be1 Ga1 As1 Os1'
_symmetry_space_group_name_H-M 'P 1'
_symmetry_Int_Tables_number 1
_cell_length_a 4.295
_cell_length_b 4.295
_cell_length_c 4.295
_cell_angle_alpha 60.00
_cell_angle_beta 60.00
_cell_angle_gamma 60.00
loop_
_symmetry_equiv_pos_as_xyz
'x,y,z'
loop_
_atom_site_label
_atom_site_fract_x
_atom_site_fract_y
_atom_site_fract_z
Ga1 0.000 0.000 0.000
Os1 0.500 0.500 0.500
Be1 0.750 0.750 0.750
As1 0.250 0.250 0.250
# magnetic moment = 0.01 μB per formula unit
# symmetry = No. 216
# ρ = 10.2 g cm⁻³

---

Run x
# BeGaAsOs (PBE, optimized geometry)
data_BeGaAsOs
_chemical_formula_sum 'Be1 Ga1 As1 Os1'
_symmetry_space_group_name_H-M 'P 1'
_symmetry_Int_Tables_number 1
_cell_length_a 4.302
_cell_length_b 4.302
_cell_length_c 4.302
_cell_angle_alpha 60.00
_cell_angle_beta 60.00
_cell_angle_gamma 60.00
loop_
_symmetry_equiv_pos_as_xyz
'x,y,z'
loop_
_atom_site_label
_atom_site_fract_x
_atom_site_fract_y
_atom_site_fract_z
Be1 0.750 0.750 0.750
Ga1 0.000 0.000 0.000
As1 0.500 0.500 0.500
Os1 0.250 0.250 0.250
# magnetic moment = 0.00 μB per formula unit
# symmetry = No. 216
# ρ = 10.1 g cm⁻³

---

Which structure wins on stability? run x wins.

---

Run w
# BeTcGeAs (PBE, optimized geometry)
data_BeTcGeAs
_chemical_formula_sum 'Be1 Tc1 Ge1 As1'
_symmetry_space_group_name_H-M 'P 1'
_symmetry_Int_Tables_number 1
_cell_length_a 4.365
_cell_length_b 4.365
_cell_length_c 4.365
_cell_angle_alpha 60.00
_cell_angle_beta 60.00
_cell_angle_gamma 60.00
loop_
_symmetry_equiv_pos_as_xyz
'x,y,z'
loop_
_atom_site_label
_atom_site_fract_x
_atom_site_fract_y
_atom_site_fract_z
Be1 0.750 0.750 0.750
Tc1 0.500 0.500 0.500
As1 0.000 0.000 0.000
Ge1 0.250 0.250 0.250
# magnetic moment = 0.17 μB per formula unit
# symmetry = No. 216
# ρ = 7.2 g cm⁻³

---

Run x
# BeTcGeAs (PBE, optimized geometry)
data_BeTcGeAs
_chemical_formula_sum 'Be1 Tc1 Ge1 As1'
_symmetry_space_group_name_H-M 'P 1'
_symmetry_Int_Tables_number 1
_cell_length_a 4.327
_cell_length_b 4.327
_cell_length_c 4.327
_cell_angle_alpha 60.00
_cell_angle_beta 60.00
_cell_angle_gamma 60.00
loop_
_symmetry_equiv_pos_as_xyz
'x,y,z'
loop_
_atom_site_label
_atom_site_fract_x
_atom_site_fract_y
_atom_site_fract_z
Tc1 0.250 0.250 0.250
Ge1 0.000 0.000 0.000
Be1 0.750 0.750 0.750
As1 0.500 0.500 0.500
# magnetic moment = 0.01 μB per formula unit
# symmetry = No. 216
# ρ = 7.4 g cm⁻³

---

Run y
# BeTcGeAs (PBE, optimized geometry)
data_BeTcGeAs
_chemical_formula_sum 'Be1 Tc1 Ge1 As1'
_symmetry_space_group_name_H-M 'P 1'
_symmetry_Int_Tables_number 1
_cell_length_a 4.342
_cell_length_b 4.342
_cell_length_c 4.342
_cell_angle_alpha 60.00
_cell_angle_beta 60.00
_cell_angle_gamma 60.00
loop_
_symmetry_equiv_pos_as_xyz
'x,y,z'
loop_
_atom_site_label
_atom_site_fract_x
_atom_site_fract_y
_atom_site_fract_z
Be1 0.750 0.750 0.750
As1 0.250 0.250 0.250
Tc1 0.500 0.500 0.500
Ge1 0.000 0.000 0.000
# magnetic moment = 0.24 μB per formula unit
# symmetry = No. 216
# ρ = 7.3 g cm⁻³

---

Which structure wins on stability? run x wins.

---

Run w
# HfBeNiAs (PBE, optimized geometry)
data_HfBeNiAs
_chemical_formula_sum 'Hf1 Be1 Ni1 As1'
_symmetry_space_group_name_H-M 'P 1'
_symmetry_Int_Tables_number 1
_cell_length_a 4.329
_cell_length_b 4.329
_cell_length_c 4.329
_cell_angle_alpha 60.00
_cell_angle_beta 60.00
_cell_angle_gamma 60.00
loop_
_symmetry_equiv_pos_as_xyz
'x,y,z'
loop_
_atom_site_label
_atom_site_fract_x
_atom_site_fract_y
_atom_site_fract_z
Be1 0.500 0.500 0.500
Ni1 0.750 0.750 0.750
Hf1 0.250 0.250 0.250
As1 0.000 0.000 0.000
# magnetic moment = 0.00 μB per formula unit
# symmetry = No. 216
# ρ = 9.3 g cm⁻³

---

Run x
# HfBeNiAs (PBE, optimized geometry)
data_HfBeNiAs
_chemical_formula_sum 'Hf1 Be1 Ni1 As1'
_symmetry_space_group_name_H-M 'P 1'
_symmetry_Int_Tables_number 1
_cell_length_a 4.345
_cell_length_b 4.345
_cell_length_c 4.345
_cell_angle_alpha 60.00
_cell_angle_beta 60.00
_cell_angle_gamma 60.00
loop_
_symmetry_equiv_pos_as_xyz
'x,y,z'
loop_
_atom_site_label
_atom_site_fract_x
_atom_site_fract_y
_atom_site_fract_z
Ni1 0.750 0.750 0.750
As1 0.000 0.000 0.000
Be1 0.250 0.250 0.250
Hf1 0.500 0.500 0.500
# magnetic moment = 0.02 μB per formula unit
# symmetry = No. 216
# ρ = 9.2 g cm⁻³

---

Which structure wins on stability? run w wins.

---

Run w
# HfBeAsO (PBE, optimized geometry)
data_HfBeAsO
_chemical_formula_sum 'Hf2 Be2 As2 O2'
_symmetry_space_group_name_H-M 'P 1'
_symmetry_Int_Tables_number 1
_cell_length_a 3.701
_cell_length_b 3.701
_cell_length_c 9.498
_cell_angle_alpha 90.00
_cell_angle_beta 90.00
_cell_angle_gamma 90.00
loop_
_symmetry_equiv_pos_as_xyz
'x,y,z'
loop_
_atom_site_label
_atom_site_fract_x
_atom_site_fract_y
_atom_site_fract_z
Hf1 0.750 0.250 0.500
Hf2 0.250 0.750 0.500
As1 0.750 0.750 0.287
As2 0.250 0.250 0.713
O1 0.750 0.250 0.000
O2 0.250 0.750 0.000
Be1 0.750 0.750 0.010
Be2 0.250 0.250 0.990
# magnetic moment = 0.00 μB per formula unit
# symmetry = No. 129
# ρ = 7.1 g cm⁻³

---

Run x
# HfBeAsO (PBE, optimized geometry)
data_HfBeAsO
_chemical_formula_sum 'Hf2 Be2 As2 O2'
_symmetry_space_group_name_H-M 'P 1'
_symmetry_Int_Tables_number 1
_cell_length_a 3.815
_cell_length_b 6.002
_cell_length_c 5.223
_cell_angle_alpha 90.00
_cell_angle_beta 90.00
_cell_angle_gamma 90.00
loop_
_symmetry_equiv_pos_as_xyz
'x,y,z'
loop_
_atom_site_label
_atom_site_fract_x
_atom_site_fract_y
_atom_site_fract_z
Be1 0.500 0.583 0.568
Be2 0.500 0.417 0.068
Hf1 0.000 0.192 0.399
Hf2 0.000 0.808 0.899
O1 0.500 0.350 0.386
O2 0.500 0.650 0.886
As1 0.000 0.251 0.900
As2 0.000 0.749 0.400
# magnetic moment = 0.01 μB per formula unit
# symmetry = No. 26
# ρ = 7.7 g cm⁻³

---

Which structure wins on stability? run x wins.